# TlTcAg2 PBEsol optimized geometry
# ΔE to the lowest computed polymorph: 0 meV per atom
# Formation energy: 0.557 eV/atom
data_TlTcAg2
_cell_length_a 2.838
_cell_length_b 4.942
_cell_length_c 4.980
_cell_angle_alpha 90.00
_cell_angle_beta 92.22
_cell_angle_gamma 90.00
_space_group_name_H-M_alt 'P 1 2/m 1'
_space_group_IT_number 10
loop_
_space_group_symop_operation_xyz
'x,y,z'
'-x,-y,-z'
'-x,y,-z'
'x,-y,z'
loop_
_atom_site_label
_atom_site_type_symbol
_atom_site_fract_x
_atom_site_fract_y
_atom_site_fract_z
Tl1 Tl 0.000 0.000 0.000
Tc1 Tc 0.500 0.000 0.500
Ag1 Ag 0.232 0.500 0.738